A relaxed La4Y5 crystal, computed with PBEsol.

Cell: 10.681 10.681 5.105 Å, 90.00 90.00 90.00°
Space group I4/mmm (No. 139)
One atom of each set of equivalent atoms:
1 La 0.000 0.334 0.000
2 Y 0.000 0.000 0.000
3 Y 0.165 0.165 0.500

Computed properties:
E above lowest polymorph   0.00 eV per formula unit
ΔE_f   2.8 kJ/mol of atoms
Calculated total energy   -55.2 eV/f.u.

A relaxed K2CdPt crystal, computed with PBEsol.

Cell: 4.6415 4.6415 24.0517 Å, 90.00 90.00 120.00°
Space group R3m (No. 160, hexagonal axes)
One atom of each set of equivalent atoms:
1 K 0.0000 0.0000 0.0000
2 K 0.0000 0.0000 0.1731
3 Cd 0.0000 0.0000 0.4198
4 Pt 0.0000 0.0000 0.7534

Computed properties:
E above lowest polymorph   0.00 eV per formula unit
ΔE_f   -5.8 kJ/mol of atoms
Calculated total energy   -10.7 eV/f.u.

A relaxed AlCu2Au crystal, computed with PBEsol.

Cell: 3.759 3.759 7.598 Å, 90.00 90.00 90.00°
Space group I-4m2 (No. 119)
One atom of each set of equivalent atoms:
1 Al 0.000 0.000 0.000
2 Cu 0.000 0.000 0.500
3 Cu 0.000 0.500 0.750
4 Au 0.000 0.500 0.250

Computed properties:
ΔE_f   -24.7 kJ/mol of atoms
Calculated total energy   -17.7 eV/f.u.

A relaxed TaZn3Ni crystal, computed with PBEsol.

Cell: 4.861 4.861 4.861 Å, 90.00 90.00 90.00°
Space group Pm-3m (No. 221)
One atom of each set of equivalent atoms:
1 Ta 0.000 0.000 0.000
2 Zn 0.000 0.000 0.500
3 Ni 0.500 0.500 0.500

Computed properties:
ΔE_f   166.7 kJ/mol of atoms
Calculated total energy   -14.8 eV/f.u.

A relaxed CuP4Ir crystal, computed with PBEsol.

Cell: 6.902 6.902 6.902 Å, 90.00 90.00 90.00°
Space group F-43m (No. 216)
One atom of each set of equivalent atoms:
1 Cu 0.000 0.000 0.000
2 P 0.129 0.129 0.371
3 Ir 0.250 0.250 0.750

Computed properties:
ΔE_f   76.1 kJ/mol of atoms
Calculated total energy   -32.6 eV/f.u.

A relaxed LaSc2TlRu crystal, computed with PBEsol.

Cell: 4.991 4.991 5.318 Å, 90.00 90.00 90.00°
Space group P4/mmm (No. 123)
One atom of each set of equivalent atoms:
1 La 0.000 0.000 0.000
2 Sc 0.000 0.500 0.500
3 Tl 0.500 0.500 0.000
4 Ru 0.000 0.000 0.500

Computed properties:
ΔE_f   -13.3 kJ/mol of atoms
Calculated total energy   -32.0 eV/f.u.

A relaxed SrCrN2O crystal, computed with PBEsol.

Cell: 4.664 4.664 4.391 Å, 90.00 90.00 90.00°
Space group P4/mmm (No. 123)
One atom of each set of equivalent atoms:
1 Sr 0.000 0.000 0.000
2 Cr 0.500 0.500 0.500
3 N 0.000 0.500 0.000
4 O 0.000 0.000 0.500

Computed properties:
Raw formation energy   7.70 eV per formula unit
Calculated total energy   -26.7 eV/f.u.

A relaxed NiPtRh2 crystal, computed with PBEsol.

Cell: 2.678 3.707 5.310 Å, 90.00 90.00 90.00°
Space group Pmm2 (No. 25)
One atom of each set of equivalent atoms:
1 Ni 0.000 0.000 0.000
2 Pt 0.500 0.500 0.246
3 Rh 0.000 0.000 0.512
4 Rh 0.500 0.500 0.755

Computed properties:
ΔE_f   -0.6 kJ/mol of atoms
Calculated total energy   -29.4 eV/f.u.